1.
Below is crystalline Zr2ZnGe4 at its relaxed geometry, with properties calculated at the PBE-GGA level.

Summary:
crystal system	tetragonal
SG	P-4m2
DFT formation energy	-0.402	eV/atom

abc: 3.8151 3.8151 9.1588
angles: 90.00 90.00 90.00
Element x y z (fractional)
Ge 0.0000 0.0000 0.5000
Ge 0.5000 0.0000 0.1752
Ge 0.5000 0.5000 0.5000
Ge 0.0000 0.5000 0.8248
Zr 0.5000 0.0000 0.7396
Zr 0.0000 0.5000 0.2604
Zn 0.5000 0.5000 0.0000

=====

2.
Below is crystalline AcSn4Pd at its relaxed geometry, with properties calculated at the PBE-GGA level.

Summary:
crystal system	triclinic
SG	P-1
DFT formation energy	-0.345	eV/atom

abc: 5.7373 5.7270 10.9527
angles: 108.14 108.20 89.42
Element x y z (fractional)
Sn 0.1008 0.6017 0.7785
Sn 0.6007 0.1017 0.7785
Sn 0.9886 0.9871 0.3619
Sn 0.4885 0.4871 0.3619
Sn 0.5115 0.5129 0.6381
Sn 0.3993 0.8983 0.2215
Sn 0.8992 0.3983 0.2215
Sn 0.0114 0.0129 0.6381
Ac 0.7500 0.7500 0.0000
Ac 0.2500 0.2500 0.0000
Pd 0.0000 0.5000 0.5000
Pd 0.5000 0.0000 0.5000

=====

3.
Below is crystalline Li3Sc at its relaxed geometry, with properties calculated at the PBE-GGA level.

Summary:
crystal system	orthorhombic
SG	Pmm2
DFT formation energy	0.178	eV/atom
energy above the most stable polymorph in this dataset	73.0	meV/atom

abc: 2.9979 5.1454 5.4379
angles: 90.00 90.00 90.00
Each line ends with the local moment (μB).
Element x y z (fractional)
Li 0.0000 0.0000 0.0006  0.00
Li 0.5000 0.5000 0.8203  0.00
Li 0.5000 0.0000 0.5226  0.00
Sc 0.0000 0.5000 0.3232  0.11

=====

4.
Below is crystalline Zn2SnBi at its relaxed geometry, with properties calculated at the PBE-GGA level.

Summary:
crystal system	tetragonal
SG	I-42d
DFT formation energy	0.174	eV/atom
energy above the most stable polymorph in this dataset	43.7	meV/atom

abc: 5.1405 5.1405 9.0193
angles: 73.44 73.44 90.00
Element x y z (fractional)
Zn 0.3750 0.4080 0.7500
Zn 0.1580 0.6250 0.2500
Zn 0.5920 0.1250 0.2500
Zn 0.8750 0.8420 0.7500
Bi 0.7500 0.2500 0.5000
Bi 0.0000 0.0000 0.0000
Sn 0.2500 0.7500 0.5000
Sn 0.5000 0.5000 0.0000

=====

5.
Below is crystalline CaOsRu at its relaxed geometry, with properties calculated at the PBE-GGA level.

Summary:
crystal system	monoclinic
SG	C2/m
DFT formation energy	0.095	eV/atom
energy above the most stable polymorph in this dataset	4.8	meV/atom

abc: 4.3591 5.5497 5.6478
angles: 97.82 112.70 66.89
Element x y z (fractional)
Ca 0.6957 0.3430 0.6022
Ca 0.1876 0.7040 0.9467
Os 0.8574 0.7596 0.3423
Os 0.0260 0.2875 0.2066
Ru 0.3609 0.9353 0.5245
Ru 0.5224 0.1117 0.0243

=====

6.
Below is crystalline KTi2Co at its relaxed geometry, with properties calculated at the PBE-GGA level.

Summary:
crystal system	cubic
SG	Fm-3m
DFT formation energy	1.012	eV/atom
energy above the most stable polymorph in this dataset	0.0	meV/atom

abc: 4.6045 4.6045 4.6045
angles: 60.00 60.00 60.00
Element x y z (fractional)
Co 0.5000 0.5000 0.5000
Ti 0.7500 0.7500 0.7500
Ti 0.2500 0.2500 0.2500
K 0.0000 0.0000 0.0000

=====

7.
Below is crystalline Sr3Mg9Zn2 at its relaxed geometry, with properties calculated at the PBE-GGA level.

Summary:
crystal system	orthorhombic
SG	Immm
DFT formation energy	-0.045	eV/atom

abc: 4.9416 9.3435 9.3435
angles: 72.24 74.67 74.67
Element x y z (fractional)
Zn 0.5000 0.7176 0.2824
Zn 0.5000 0.2824 0.7176
Mg 0.8860 0.8355 0.3925
Mg 0.3265 0.3193 0.0278
Mg 0.1140 0.6075 0.1645
Mg 0.8860 0.3925 0.8355
Mg 0.3265 0.0278 0.3193
Mg 0.0000 0.5000 0.5000
Mg 0.1140 0.1645 0.6075
Mg 0.6735 0.9722 0.6807
Mg 0.6735 0.6807 0.9722
Sr 0.3158 0.6842 0.6842
Sr 0.0000 0.0000 0.0000
Sr 0.6842 0.3158 0.3158

=====

8.
Below is crystalline Sc3GaO at its relaxed geometry, with properties calculated at the PBE-GGA level.

Summary:
crystal system	hexagonal
raw total energy	-6.87	eV/atom
SG	P6_3/mmc

abc: 6.1565 5.1458 6.1565
angles: 89.99 60.00 90.01
Each line ends with the local moment (μB).
Element x y z (fractional)
Sc 0.1432 0.5487 0.2156  0.18
Sc 0.9749 0.0485 0.5525  0.16
Sc 0.9747 0.0487 0.0473  0.16
Sc 0.6380 0.5483 0.7211  0.18
Sc 0.6377 0.5485 0.2159  0.18
Sc 0.4694 0.0483 0.5528  0.16
Ga 0.1397 0.5484 0.7175  -0.02
Ga 0.4730 0.0484 0.0509  -0.02
O 0.8063 0.7985 0.3842  0.00
O 0.8063 0.2985 0.3842  0.00

=====

9.
Below is crystalline Cs3AgPb at its relaxed geometry, with properties calculated at the PBE-GGA level.

Summary:
crystal system	monoclinic
SG	C2/m
DFT formation energy	0.048	eV/atom
energy above the most stable polymorph in this dataset	0.0	meV/atom

abc: 9.0752 9.0752 9.0983
angles: 109.09 118.08 101.55
Element x y z (fractional)
Cs 0.2711 0.5597 0.8308
Cs 0.2282 0.4095 0.2443
Cs 0.8347 0.0161 0.2443
Cs 0.7289 0.4403 0.1692
Cs 0.1653 0.9839 0.7557
Cs 0.7718 0.5905 0.7557
Ag 0.3931 0.2089 0.6020
Ag 0.6069 0.7911 0.3980
Pb 0.6675 0.0599 0.7274
Pb 0.3325 0.9401 0.2726

=====

10.
Below is crystalline CaGaC3 at its relaxed geometry, with properties calculated at the PBE-GGA level.

Summary:
crystal system	cubic
SG	Pm-3m
DFT formation energy	3.212	eV/atom
energy above the most stable polymorph in this dataset	1337.3	meV/atom

abc: 4.5473 4.5473 4.5473
angles: 90.00 90.00 90.00
Each line ends with the local moment (μB).
Element x y z (fractional)
Ca 0.0000 0.0000 0.0000  0.06
C 0.5000 0.0000 0.0000  0.17
C 0.0000 0.5000 0.0000  0.17
C 0.0000 0.0000 0.5000  0.14
Ga 0.5000 0.5000 0.5000  0.01

=====

11.
Below is crystalline NpSi2OsW at its relaxed geometry, with properties calculated at the PBE-GGA level.

Summary:
crystal system	tetragonal
raw total energy	-9.80	eV/atom
SG	I-4m2

abc: 4.0225 4.0225 6.0019
angles: 109.58 109.58 90.00
Each line ends with the local moment (μB).
Element x y z (fractional)
Si 0.6122 0.6122 0.2244  -0.02
Si 0.3878 0.3878 0.7756  -0.02
Os 0.7500 0.2500 0.5000  -0.04
Np 0.0000 0.0000 0.0000  3.66
W 0.2500 0.7500 0.5000  -0.02

=====

12.
Below is crystalline Ca2CuRh at its relaxed geometry, with properties calculated at the PBE-GGA level.

Summary:
crystal system	monoclinic
SG	P2_1/m
DFT formation energy	-0.295	eV/atom

abc: 4.2140 5.7091 8.2942
angles: 111.57 90.00 90.00
Element x y z (fractional)
Cu 0.2500 0.3679 0.2171
Cu 0.7500 0.6321 0.7829
Rh 0.7500 0.6203 0.2792
Rh 0.2500 0.3797 0.7208
Ca 0.7500 0.2231 0.9245
Ca 0.2500 0.7769 0.0755
Ca 0.7500 0.2132 0.4337
Ca 0.2500 0.7868 0.5663

=====

13.
Below is crystalline SrV3Fe at its relaxed geometry, with properties calculated at the PBE-GGA level.

Summary:
crystal system	cubic
SG	Pm-3m
DFT formation energy	2.614	eV/atom
energy above the most stable polymorph in this dataset	1874.4	meV/atom

abc: 4.4885 4.4885 4.4885
angles: 90.00 90.00 90.00
Each line ends with the local moment (μB).
Element x y z (fractional)
V 0.0000 0.0000 0.5000  0.06
V 0.0000 0.5000 0.0000  0.06
V 0.5000 0.0000 0.0000  0.06
Sr 0.0000 0.0000 0.0000  -0.01
Fe 0.5000 0.5000 0.5000  3.10